Computed, not measured: a geometry-optimized Li2MnNi structure at the PBE level of DFT.

```
data_Li2MnNi
_cell_length_a 5.885
_cell_length_b 5.885
_cell_length_c 5.885
_cell_angle_alpha 90.00
_cell_angle_beta 90.00
_cell_angle_gamma 90.00
_space_group_name_H-M_alt 'F m -3 m'
_space_group_IT_number 225
_space_group_name_Hall '-F 4 2 3'
loop_
_atom_site_label
_atom_site_type_symbol
_atom_site_fract_x
_atom_site_fract_y
_atom_site_fract_z
_atom_site_occupancy
Li1 Li 0.250 0.250 0.250 1
Mn1 Mn 0.000 0.000 0.000 1
Ni1 Ni 0.000 0.000 0.500 1
```

Summary:
Polymorph energy (0 for the lowest one) = 0.1710 eV/atom
Magnetic moment = 16.759 μB/cell
E_tot = -4.41 eV/atom
Energy of formation from the pure elements = 0.28 eV per atom